Record 1
Compound: Ni2Te2Se
Source: Alexandria via LeMat-Bulk
Functional: GGA-PBE
Structure: relaxed

Output
SG = P-1
Uncorrected energy = -44.188 eV for the cell shown

```
Ni2Te2Se
1.0
5.9089 0.4931 2.7538
2.8626 6.0412 2.8183
0.4598 0.7192 6.4475
Te Ni Se
4 4 2
direct
0.4975 0.3899 0.3313
0.2119 0.1688 0.1664
0.5025 0.6101 0.6687
0.7881 0.8312 0.8336
0.3486 0.8149 0.9842
0.6514 0.1851 0.0158
0.8384 0.2126 0.5521
0.1616 0.7874 0.4479
0.0720 0.1938 0.7568
0.9280 0.8062 0.2432
```



Record 2
Compound: TeS8Cl2
Source: Alexandria via LeMat-Bulk
Functional: GGA-PBE
Structure: relaxed

Output
SG = C2/m
Uncorrected energy = -37.685 eV for the cell shown

```
TeS8Cl2
1.0
-0.2280 8.9815 -5.2605
-6.0671 -5.6580 1.9771
-2.9205 -2.2283 7.6966
Cl S Te
2 8 1
direct
0.7290 0.9803 0.9803
0.2710 0.0197 0.0197
0.7988 0.3167 0.3167
0.9863 0.5657 0.1624
0.8682 0.6382 0.6382
0.0138 0.8376 0.4343
0.1318 0.3618 0.3618
0.0137 0.4343 0.8376
0.9862 0.1624 0.5657
0.2012 0.6833 0.6833
0.0000 0.0000 0.0000
```



Record 3
Compound: CsK2Li
Source: Alexandria via LeMat-Bulk
Functional: GGA-PBE
Structure: relaxed

Output
SG = I-42d
Formation enthalpy at 0 K = 0.18 eV per atom
Uncorrected energy = -8.482 eV for the cell shown
Distance to the lowest polymorph of the same formula = 0.073 eV per atom

```
CsK2Li
1.0
-4.8973 -3.4110 -1.0062
3.3051 -4.9975 0.8553
-4.0924 -3.8464 14.7546
Li K Cs
2 4 2
direct
0.5000 0.5000 0.0000
0.2500 0.7500 0.5000
0.1522 0.6250 0.2500
0.5978 0.1250 0.2500
0.3750 0.4022 0.7500
0.8750 0.8478 0.7500
0.7500 0.2500 0.5000
0.0000 0.0000 0.0000
```



Record 4
Compound: BaScP2
Source: Alexandria via LeMat-Bulk
Functional: GGA-PBE
Structure: relaxed

Output
SG = P2/m
Formation enthalpy at 0 K = -0.65 eV per atom
Uncorrected energy = -21.687 eV for the cell shown
Distance to the lowest polymorph of the same formula = 0.335 eV per atom

```
BaScP2
1.0
-0.3587 -2.8262 -3.1537
3.4408 -4.8954 3.9956
-0.7592 -4.2489 3.8940
P Ba Sc
2 1 1
direct
0.0000 0.0000 0.0000
0.5000 0.5000 0.0000
0.0000 0.0000 0.5000
0.5000 0.5000 0.5000
```



Record 5
Compound: Hf2ReTc
Source: Alexandria via LeMat-Bulk
Functional: GGA-PBE
Structure: relaxed

Output
SG = P4/mmm
Formation enthalpy at 0 K = -0.40 eV per atom
Uncorrected energy = -44.331 eV for the cell shown
Distance to the lowest polymorph of the same formula = 0.000 eV per atom

```
Hf2ReTc
1.0
3.2604 0.0000 0.0000
0.0000 4.6304 0.0000
0.0000 0.0000 4.6304
Tc Re Hf
1 1 2
direct
0.5000 0.0000 0.0000
0.5000 0.5000 0.5000
0.0000 0.0000 0.5000
0.0000 0.5000 0.0000
```



Record 6
Compound: NaAgI3
Source: Alexandria via LeMat-Bulk
Functional: GGA-PBE
Structure: relaxed

Output
SG = Pm-3m
Uncorrected energy = -10.915 eV for the cell shown
Distance to the lowest polymorph of the same formula = 0.099 eV per atom

```
NaAgI3
1.0
-4.9819 2.9240 0.1776
-2.8193 -4.8809 1.2760
0.7956 1.0133 5.6339
I Na Ag
3 1 1
direct
0.0000 0.5000 0.0000
0.0000 0.0000 0.5000
0.5000 0.0000 0.0000
0.5000 0.5000 0.5000
0.0000 0.0000 0.0000
```